A geometry-optimized CrSb structure, computed with PBE-GGA.

E_form (uncorrected)	369.5	meV/atom
V	20.22	A^3/atom
density of states at the Fermi level	1.327	states/eV/f.u.
calculated total energy	-26.01	eV per cell
total moment	1.80	μB per atom

Cell: 5.743 5.743 5.743 Å, 138.95 138.95 59.46°
Positions (direct):
Sb (0.750, 0.250, 0.500)
Sb (0.500, 0.500, 0.000)
Cr (0.250, 0.750, 0.500)
Cr (0.000, 0.000, 0.000)

***

A geometry-optimized Dy2Y3In structure, computed with PBE-GGA.

V	29.95	A^3/atom
density of states at the Fermi level	7.238	states/eV/f.u.
calculated total energy	-32.31	eV per cell
total moment	0.00	μB per atom

Cell: 4.865 4.884 7.948 Å, 107.89 90.00 90.00°
Positions (direct):
Y (0.500, 0.167, 0.335)
Y (0.500, 0.500, 0.000)
Y (0.500, 0.833, 0.665)
In (0.000, 0.000, 0.000)
Dy (0.000, 0.338, 0.676)
Dy (0.000, 0.662, 0.324)

***

A geometry-optimized K2TaSb structure, computed with PBE-GGA.

E_form (uncorrected)	575.4	meV/atom
V	39.51	A^3/atom
density of states at the Fermi level	3.731	states/eV/f.u.
calculated total energy	-15.87	eV per cell
total moment	0.15	μB per atom

Cell: 5.061 5.061 10.135 Å, 86.01 86.01 37.62°
Positions (direct):
K (0.767, 0.767, 0.670)
K (0.988, 0.988, 0.076)
Ta (0.238, 0.238, 0.341)
Sb (0.506, 0.506, 0.413)